1.
The following is a PBE calculation of crystalline Mg5HIr4 at its relaxed geometry, from Alexandria.

Lattice parameters (Å, degrees): 4.441 4.922 7.498 97.82 107.25 90.03
Fractional coordinates of all 10 atoms:
Mg1 0.104 0.401 0.736
Ir1 0.424 0.021 0.374
Mg2 0.994 0.838 0.514
Mg3 0.870 0.275 0.267
H1 0.722 0.014 0.970
Ir2 0.319 0.535 0.165
Mg4 0.231 0.000 0.986
Mg5 0.715 0.600 0.957
Ir3 0.610 0.073 0.747
Ir4 0.506 0.535 0.538

Summary:
- Offset from the most stable computed form: 32 meV per atom

---

2.
The following is a PBE calculation of crystalline CsCuC3 at its relaxed geometry, from Alexandria.

Lattice parameters (Å, degrees): 4.524 4.524 4.524 90.00 90.00 90.00
Fractional coordinates of all 5 atoms:
C1 0.500 0.000 0.000
Cu1 0.500 0.500 0.500
C2 0.000 0.500 0.000
C3 0.000 0.000 0.500
Cs1 0.000 0.000 0.000

Summary:
- Energy relative to the elements: 4392 meV per atom

---

3.
The following is a PBE calculation of crystalline ZrFeTe2Pd at its relaxed geometry, from Alexandria.

Lattice parameters (Å, degrees): 4.921 4.651 4.921 90.00 90.00 90.00
Last column: magnetic moment on the atom in μB.
Fractional coordinates of all 5 atoms:
Zr1 0.000 0.500 0.000  -0.08
Te1 0.000 0.000 0.500  0.03
Te2 0.500 0.000 0.000  0.04
Pd1 0.500 0.500 0.500  0.02
Fe1 0.000 0.000 0.000  0.72

Summary:
- VASP energy: -0.1964 Ha/atom

---

4.
The following is a PBE calculation of crystalline Ho3In3Pb at its relaxed geometry, from Alexandria.

Lattice parameters (Å, degrees): 5.297 9.007 9.007 120.00 90.00 90.00
Fractional coordinates of all 14 atoms:
Ho1 0.750 0.450 0.097
Pb1 0.250 0.667 0.333
Ho2 0.250 0.550 0.903
Ho3 0.750 0.903 0.353
Ho4 0.750 0.647 0.550
In1 0.750 0.772 0.958
Ho5 0.250 0.353 0.450
Pb2 0.750 0.333 0.667
In2 0.250 0.228 0.042
Ho6 0.250 0.097 0.647
In3 0.250 0.958 0.186
In4 0.750 0.186 0.228
In5 0.250 0.814 0.772
In6 0.750 0.042 0.814

Summary:
- Energy relative to the elements: -346 meV per atom

---

5.
The following is a PBE calculation of crystalline HfZr2H8 at its relaxed geometry, from Alexandria.

Lattice parameters (Å, degrees): 3.268 4.940 6.262 113.23 105.13 90.00
Fractional coordinates of all 11 atoms:
Zr1 0.167 0.650 0.333
Zr2 0.833 0.350 0.667
H1 0.222 0.319 0.444
H2 0.664 0.937 0.329
Hf1 0.500 0.000 0.000
H3 0.336 0.063 0.671
H4 0.778 0.681 0.556
H5 0.415 0.565 0.830
H6 0.013 0.770 0.026
H7 0.987 0.230 0.974
H8 0.585 0.435 0.170

Summary:
- Offset from the most stable computed form: 0 meV per atom

---

6.
The following is a PBE calculation of crystalline MoAsOs2 at its relaxed geometry, from Alexandria.

Lattice parameters (Å, degrees): 4.854 4.854 4.854 133.35 133.35 68.11
Fractional coordinates of all 4 atoms:
Os1 0.000 0.000 0.000
As1 0.500 0.500 0.000
Os2 0.250 0.750 0.500
Mo1 0.750 0.250 0.500

Summary:
- Energy relative to the elements: 431 meV per atom

---

7.
The following is a PBE calculation of crystalline CsZn2Bi at its relaxed geometry, from Alexandria.

Lattice parameters (Å, degrees): 5.685 5.685 10.689 74.58 74.58 90.00
Fractional coordinates of all 8 atoms:
Zn1 0.875 0.625 0.250
Zn2 0.375 0.125 0.750
Bi1 0.000 0.000 0.000
Cs1 0.500 0.500 0.000
Zn3 0.875 0.125 0.250
Bi2 0.750 0.250 0.500
Zn4 0.875 0.125 0.750
Cs2 0.250 0.750 0.500

Summary:
- Energy relative to the elements: 18 meV per atom